# 1
! NaSi2Sb2 | the Alexandria database | PBE | relaxed; values from VASP
! * space-group type: P4/mbm
! * formation energy (no corrections): 0.233 eV/atom
&SYSTEM
  ibrav = 0, nat = 10, ntyp = 3
/
ATOMIC_SPECIES
Sb 121.76 Sb.upf
Si 28.09 Si.upf
Na 22.99 Na.upf
ATOMIC_POSITIONS crystal
Sb 0.1673 0.6673 0.5000
Sb 0.6673 0.8327 0.5000
Sb 0.8327 0.3327 0.5000
Sb 0.3327 0.1673 0.5000
Si 0.3852 0.8852 0.0000
Si 0.8852 0.6148 0.0000
Si 0.6148 0.1148 0.0000
Si 0.1148 0.3852 0.0000
Na 0.0000 0.0000 0.0000
Na 0.5000 0.5000 0.0000
CELL_PARAMETERS angstrom
-1.6496 -4.9799 5.8783
7.5108 -2.3779 0.0933
0.8136 2.6674 2.4881

=====

# 2
! NaSiSb | the Alexandria database | PBE | relaxed; values from VASP
! * space-group type: R-3m
! * formation energy (no corrections): 0.015 eV/atom
&SYSTEM
  ibrav = 0, nat = 6, ntyp = 3
/
ATOMIC_SPECIES
Na 22.99 Na.upf
Si 28.09 Si.upf
Sb 121.76 Sb.upf
ATOMIC_POSITIONS crystal
Na 0.6157 0.3322 0.4363
Na 0.1377 0.8535 0.8710
Si 0.2214 0.9373 0.6200
Si 0.5322 0.2482 0.6874
Sb 0.0188 0.7359 0.2265
Sb 0.7337 0.4517 0.0808
CELL_PARAMETERS angstrom
-3.7254 -1.3740 0.0226
-1.2488 -2.3996 -2.9061
1.9024 -10.8071 5.3835

=====

# 3
! Na2Si2Sb | the Alexandria database | PBE | relaxed; values from VASP
! * space-group type: P4/mbm
! * polymorph energy (0 for the lowest one): 0 meV/atom
! * formation energy (no corrections): 0.186 eV/atom
&SYSTEM
  ibrav = 0, nat = 10, ntyp = 3
/
ATOMIC_SPECIES
Sb 121.76 Sb.upf
Si 28.09 Si.upf
Na 22.99 Na.upf
ATOMIC_POSITIONS crystal
Sb 0.0000 0.0000 0.0000
Sb 0.5000 0.5000 0.0000
Si 0.4073 0.9073 0.0000
Si 0.9073 0.5927 0.0000
Si 0.5927 0.0927 0.0000
Si 0.0927 0.4073 0.0000
Na 0.2004 0.7004 0.5000
Na 0.7004 0.7996 0.5000
Na 0.7996 0.2996 0.5000
Na 0.2996 0.2004 0.5000
CELL_PARAMETERS angstrom
-7.4222 4.1598 1.9369
0.7952 -2.4616 8.3338
1.5357 2.4688 0.5827

=====

# 4
! NaSiSb2 | the Alexandria database | PBE | relaxed; values from VASP
! * space-group type: I-42d
! * formation energy (no corrections): 0.044 eV/atom
&SYSTEM
  ibrav = 0, nat = 8, ntyp = 3
/
ATOMIC_SPECIES
Sb 121.76 Sb.upf
Si 28.09 Si.upf
Na 22.99 Na.upf
ATOMIC_POSITIONS crystal
Sb 0.6850 0.1250 0.2500
Sb 0.0650 0.6250 0.2500
Sb 0.3750 0.3150 0.7500
Sb 0.8750 0.9350 0.7500
Si 0.0000 0.0000 0.0000
Si 0.7500 0.2500 0.5000
Na 0.5000 0.5000 0.0000
Na 0.2500 0.7500 0.5000
CELL_PARAMETERS angstrom
-1.8400 4.6470 -5.9754
-7.4588 -2.1617 0.6156
-5.2660 4.0450 -0.3107

=====

# 5
! NaSi3Sb | the Alexandria database | PBE | relaxed; values from VASP
! * space-group type: Pm-3m
! * polymorph energy (0 for the lowest one): 338 meV/atom
! * formation energy (no corrections): 1.401 eV/atom
&SYSTEM
  ibrav = 0, nat = 5, ntyp = 3
/
ATOMIC_SPECIES
Sb 121.76 Sb.upf
Si 28.09 Si.upf
Na 22.99 Na.upf
ATOMIC_POSITIONS crystal
Sb 0.5000 0.5000 0.5000
Si 0.0000 0.5000 0.0000
Si 0.0000 0.0000 0.5000
Si 0.5000 0.0000 0.0000
Na 0.0000 0.0000 0.0000
CELL_PARAMETERS angstrom
-0.1285 3.8964 3.0791
1.7762 -2.8403 3.6684
4.6376 1.1958 -1.3196

=====

# 6
! NaSi2Sb2 | the Alexandria database | PBE | relaxed; values from VASP
! * space-group type: I4/mmm
! * formation energy (no corrections): 0.113 eV/atom
&SYSTEM
  ibrav = 0, nat = 5, ntyp = 3
/
ATOMIC_SPECIES
Sb 121.76 Sb.upf
Si 28.09 Si.upf
Na 22.99 Na.upf
ATOMIC_POSITIONS crystal
Sb 0.7500 0.2500 0.5000
Sb 0.2500 0.7500 0.5000
Si 0.3571 0.3571 0.2857
Si 0.6429 0.6429 0.7143
Na 0.0000 0.0000 0.0000
CELL_PARAMETERS angstrom
5.2882 0.0000 0.0000
0.0000 5.2882 0.0000
2.6441 2.6441 4.2735

=====

# 7
! Na3SiSb | the Alexandria database | PBE | relaxed; values from VASP
! * space-group type: Pm-3m
! * polymorph energy (0 for the lowest one): 0 meV/atom
! * formation energy (no corrections): 0.459 eV/atom
&SYSTEM
  ibrav = 0, nat = 5, ntyp = 3
/
ATOMIC_SPECIES
Sb 121.76 Sb.upf
Si 28.09 Si.upf
Na 22.99 Na.upf
ATOMIC_POSITIONS crystal
Sb 0.5000 0.5000 0.5000
Si 0.0000 0.0000 0.0000
Na 0.0000 0.5000 0.0000
Na 0.0000 0.0000 0.5000
Na 0.5000 0.0000 0.0000
CELL_PARAMETERS angstrom
-0.9649 3.8287 -3.7598
2.3277 -3.1433 -3.7983
-4.8349 -2.2774 -1.0783

=====

# 8
! Na2SiSb2 | the Alexandria database | PBE | relaxed; values from VASP
! * space-group type: Ibam
! * polymorph energy (0 for the lowest one): 0 meV/atom
! * formation energy (no corrections): -0.174 eV/atom
&SYSTEM
  ibrav = 0, nat = 10, ntyp = 3
/
ATOMIC_SPECIES
Na 22.99 Na.upf
Si 28.09 Si.upf
Sb 121.76 Sb.upf
ATOMIC_POSITIONS crystal
Na 0.8676 0.0348 0.1672
Na 0.1324 0.9652 0.8328
Na 0.6324 0.2996 0.6672
Na 0.3676 0.7004 0.3328
Si 0.2500 0.5000 0.7500
Si 0.7500 0.5000 0.2500
Sb 0.6181 0.8014 0.1833
Sb 0.3819 0.1986 0.8167
Sb 0.1181 0.4347 0.3167
Sb 0.8819 0.5653 0.6833
CELL_PARAMETERS angstrom
3.9695 -6.0927 3.5611
-5.6140 -5.0784 2.8726
1.0983 3.1481 -7.3785

=====

# 9
! Na2SiSb2 | the Alexandria database | PBE | relaxed; values from VASP
! * space-group type: P4/mbm
! * polymorph energy (0 for the lowest one): 144 meV/atom
! * formation energy (no corrections): -0.030 eV/atom
&SYSTEM
  ibrav = 0, nat = 10, ntyp = 3
/
ATOMIC_SPECIES
Sb 121.76 Sb.upf
Si 28.09 Si.upf
Na 22.99 Na.upf
ATOMIC_POSITIONS crystal
Sb 0.3599 0.8599 0.0000
Sb 0.8599 0.6401 0.0000
Sb 0.6401 0.1401 0.0000
Sb 0.1401 0.3599 0.0000
Si 0.0000 0.0000 0.0000
Si 0.5000 0.5000 0.0000
Na 0.1709 0.6709 0.5000
Na 0.6709 0.8291 0.5000
Na 0.8291 0.3291 0.5000
Na 0.3291 0.1709 0.5000
CELL_PARAMETERS angstrom
7.4170 0.0000 0.0000
0.0000 7.4170 0.0000
0.0000 0.0000 4.9940

=====

# 10
! Na2SiSb | the Alexandria database | PBE | relaxed; values from VASP
! * space-group type: Fm-3m
! * polymorph energy (0 for the lowest one): 0 meV/atom
! * formation energy (no corrections): 0.137 eV/atom
&SYSTEM
  ibrav = 0, nat = 4, ntyp = 3
/
ATOMIC_SPECIES
Sb 121.76 Sb.upf
Si 28.09 Si.upf
Na 22.99 Na.upf
ATOMIC_POSITIONS crystal
Sb 0.5000 0.5000 0.5000
Si 0.0000 0.0000 0.0000
Na 0.2500 0.2500 0.2500
Na 0.7500 0.7500 0.7500
CELL_PARAMETERS angstrom
-0.4371 1.0882 4.9801
-4.3047 -1.1694 2.5058
-0.0049 -3.7757 3.4527

=====

# 11
! NaSi2Sb | the Alexandria database | PBE | relaxed; values from VASP
! * space-group type: I-42d
! * formation energy (no corrections): 0.353 eV/atom
&SYSTEM
  ibrav = 0, nat = 8, ntyp = 3
/
ATOMIC_SPECIES
Sb 121.76 Sb.upf
Si 28.09 Si.upf
Na 22.99 Na.upf
ATOMIC_POSITIONS crystal
Sb 0.0000 0.0000 0.0000
Sb 0.7500 0.2500 0.5000
Si 0.6571 0.1250 0.2500
Si 0.0929 0.6250 0.2500
Si 0.3750 0.3429 0.7500
Si 0.8750 0.9071 0.7500
Na 0.5000 0.5000 0.0000
Na 0.2500 0.7500 0.5000
CELL_PARAMETERS angstrom
-0.1133 -7.0272 -3.5156
4.2113 2.9140 -5.9605
4.5790 -2.8079 -3.3178

=====

# 12
! Na2Si2Sb | the Alexandria database | PBE | relaxed; values from VASP
! * space-group type: I4/mmm
! * polymorph energy (0 for the lowest one): 56 meV/atom
! * formation energy (no corrections): 0.242 eV/atom
&SYSTEM
  ibrav = 0, nat = 5, ntyp = 3
/
ATOMIC_SPECIES
Sb 121.76 Sb.upf
Si 28.09 Si.upf
Na 22.99 Na.upf
ATOMIC_POSITIONS crystal
Sb 0.0000 0.0000 0.0000
Si 0.4114 0.4114 0.1772
Si 0.5886 0.5886 0.8228
Na 0.7500 0.2500 0.5000
Na 0.2500 0.7500 0.5000
CELL_PARAMETERS angstrom
-0.0527 2.4088 -3.6064
-1.2724 -3.4566 -2.2901
-6.6390 0.9612 -1.8691

=====

# 13
! Na2SiSbTe4 | the Alexandria database | PBE | relaxed; values from VASP
! * space-group type: Imma
! * formation energy (no corrections): -0.322 eV/atom
&SYSTEM
  ibrav = 0, nat = 16, ntyp = 4
/
ATOMIC_SPECIES
Na 22.99 Na.upf
Si 28.09 Si.upf
Sb 121.76 Sb.upf
Te 127.60 Te.upf
ATOMIC_POSITIONS crystal
Na 0.5000 0.0000 0.0000
Na 0.5000 0.0000 0.5000
Na 0.0000 0.0000 0.5000
Na 0.5000 0.5000 0.0000
Si 0.5000 0.5000 0.5000
Si 0.0000 0.0000 0.0000
Sb 0.0000 0.5000 0.0000
Sb 0.0000 0.5000 0.5000
Te 0.2306 0.7651 0.9979
Te 0.7349 0.2694 0.5021
Te 0.2651 0.7306 0.4979
Te 0.7694 0.2349 0.0021
Te 0.7515 0.7484 0.9665
Te 0.7516 0.7485 0.5335
Te 0.2484 0.2515 0.4665
Te 0.2485 0.2516 0.0335
CELL_PARAMETERS angstrom
-3.7409 -4.9146 6.2217
-2.6970 -5.6430 -6.1433
8.6833 2.4553 0.5885

=====

# 14
! NaSiSb2Te | the Alexandria database | PBE | relaxed; values from VASP
! * space-group type: P4/mmm
! * polymorph energy (0 for the lowest one): 793 meV/atom
! * formation energy (no corrections): 1.069 eV/atom
&SYSTEM
  ibrav = 0, nat = 5, ntyp = 4
/
ATOMIC_SPECIES
Sb 121.76 Sb.upf
Si 28.09 Si.upf
Te 127.60 Te.upf
Na 22.99 Na.upf
ATOMIC_POSITIONS crystal
Sb 0.0000 0.5000 0.0000
Sb 0.5000 0.0000 0.0000
Si 0.5000 0.5000 0.5000
Te 0.0000 0.0000 0.5000
Na 0.0000 0.0000 0.0000
CELL_PARAMETERS angstrom
5.3131 0.0000 0.0000
0.0000 5.3131 0.0000
0.0000 0.0000 5.5228

=====

# 15
! NaSiSb2Te | the Alexandria database | PBE | relaxed; values from VASP
! * space-group type: P4/mmm
! * polymorph energy (0 for the lowest one): 0 meV/atom
! * formation energy (no corrections): 0.276 eV/atom
&SYSTEM
  ibrav = 0, nat = 5, ntyp = 4
/
ATOMIC_SPECIES
Sb 121.76 Sb.upf
Si 28.09 Si.upf
Te 127.60 Te.upf
Na 22.99 Na.upf
ATOMIC_POSITIONS crystal
Sb 0.0000 0.5000 0.0000
Sb 0.5000 0.0000 0.0000
Si 0.0000 0.0000 0.0000
Te 0.0000 0.0000 0.5000
Na 0.5000 0.5000 0.5000
CELL_PARAMETERS angstrom
-1.3359 -5.0268 1.1214
5.1004 -1.1302 1.0099
-0.7304 1.3554 5.2059

=====

# 16
! NaYSiSb2 | the Alexandria database | PBE | relaxed; values from VASP
! * space-group type: P4/mmm
! * formation energy (no corrections): 0.098 eV/atom
&SYSTEM
  ibrav = 0, nat = 5, ntyp = 4
/
ATOMIC_SPECIES
Y 88.91 Y.upf
Sb 121.76 Sb.upf
Si 28.09 Si.upf
Na 22.99 Na.upf
ATOMIC_POSITIONS crystal
Y 0.0000 0.5000 0.0000
Sb 0.0000 0.0000 0.5000
Sb 0.5000 0.0000 0.0000
Si 0.0000 0.0000 0.0000
Na 0.5000 0.5000 0.5000
CELL_PARAMETERS angstrom
-5.1397 0.3274 -1.6662
-1.6580 -1.5185 4.8160
-0.1794 5.1770 1.5705

=====

# 17
! NaZr2SiSb | the Alexandria database | PBE | relaxed; values from VASP
! * space-group type: P4/mmm
! * formation energy (no corrections): 0.887 eV/atom
&SYSTEM
  ibrav = 0, nat = 5, ntyp = 4
/
ATOMIC_SPECIES
Sb 121.76 Sb.upf
Si 28.09 Si.upf
Zr 91.22 Zr.upf
Na 22.99 Na.upf
ATOMIC_POSITIONS crystal
Sb 0.0000 0.0000 0.0000
Si 0.0000 0.5000 0.0000
Zr 0.0000 0.0000 0.5000
Zr 0.5000 0.0000 0.0000
Na 0.5000 0.5000 0.5000
CELL_PARAMETERS angstrom
5.4087 0.0000 0.0000
0.0000 5.2692 0.0000
0.0000 0.0000 5.4087

=====

# 18
! NaSmSb | the Alexandria database | PBE | relaxed; values from VASP
! * space-group type: P4/nmm
! * formation energy (no corrections): -0.569 eV/atom
&SYSTEM
  ibrav = 0, nat = 12, ntyp = 3
/
ATOMIC_SPECIES
Sm 150.36 Sm.upf
Sb 121.76 Sb.upf
Na 22.99 Na.upf
ATOMIC_POSITIONS crystal
Sm 0.7500 0.7502 0.2500
Sm 0.7500 0.7498 0.7500
Sm 0.2500 0.2502 0.2500
Sm 0.2500 0.2498 0.7500
Sb 0.7500 0.2503 0.3634
Sb 0.7500 0.2497 0.8634
Sb 0.2500 0.7503 0.1366
Sb 0.2500 0.7497 0.6366
Na 0.7500 0.2506 0.0667
Na 0.7500 0.2494 0.5667
Na 0.2500 0.7494 0.9333
Na 0.2500 0.7506 0.4333
CELL_PARAMETERS angstrom
5.1937 0.0000 0.0000
0.0000 5.1944 0.0000
0.0000 0.0000 15.5908

=====

# 19
! Na4SmSb3Te8 | the Alexandria database | PBE | relaxed; values from VASP
! * space-group type: R-3m
! * formation energy (no corrections): -0.667 eV/atom
&SYSTEM
  ibrav = 0, nat = 16, ntyp = 4
/
ATOMIC_SPECIES
Na 22.99 Na.upf
Sm 150.36 Sm.upf
Sb 121.76 Sb.upf
Te 127.60 Te.upf
ATOMIC_POSITIONS crystal
Na 0.5000 0.0000 0.0000
Na 0.5000 0.0000 0.5000
Na 0.0000 0.0000 0.0000
Na 0.0000 0.0000 0.5000
Sm 0.0000 0.5000 0.0000
Sb 0.5000 0.5000 0.0000
Sb 0.5000 0.5000 0.5000
Sb 0.0000 0.5000 0.5000
Te 0.2462 0.7318 0.9857
Te 0.2463 0.7318 0.4926
Te 0.2564 0.2693 0.5128
Te 0.7394 0.7318 0.9857
Te 0.2606 0.2682 0.0143
Te 0.7436 0.7307 0.4872
Te 0.7537 0.2682 0.5074
Te 0.7538 0.2682 0.0143
CELL_PARAMETERS angstrom
8.9305 0.0000 0.0000
0.0000 9.1609 0.1545
-4.4653 -4.4609 6.3173

=====

# 20
! Na2SmZnSb2 | the Alexandria database | PBE | relaxed; values from VASP
! * space-group type: Pmc2_1
! * formation energy (no corrections): -0.539 eV/atom
&SYSTEM
  ibrav = 0, nat = 12, ntyp = 4
/
ATOMIC_SPECIES
Na 22.99 Na.upf
Sm 150.36 Sm.upf
Zn 65.41 Zn.upf
Sb 121.76 Sb.upf
ATOMIC_POSITIONS crystal
Na 0.5000 0.0188 0.0784
Na 0.0000 0.3358 0.1459
Na 0.5000 0.5188 0.9216
Na 0.0000 0.8358 0.8541
Sm 0.0000 0.0098 0.4775
Sm 0.0000 0.5098 0.5225
Zn 0.5000 0.1614 0.6715
Zn 0.5000 0.6614 0.3285
Sb 0.0000 0.2505 0.8085
Sb 0.5000 0.2693 0.3645
Sb 0.0000 0.7505 0.1915
Sb 0.5000 0.7693 0.6355
CELL_PARAMETERS angstrom
4.6984 0.0000 0.0000
0.0000 7.5387 0.0000
0.0000 0.0000 9.0773

=====

# 21
! NaSn2Sb2 | the Alexandria database | PBE | relaxed; values from VASP
! * space-group type: P4/mbm
! * formation energy (no corrections): -0.047 eV/atom
&SYSTEM
  ibrav = 0, nat = 10, ntyp = 3
/
ATOMIC_SPECIES
Sb 121.76 Sb.upf
Sn 118.71 Sn.upf
Na 22.99 Na.upf
ATOMIC_POSITIONS crystal
Sb 0.3509 0.8509 0.0000
Sb 0.8509 0.6491 0.0000
Sb 0.6491 0.1491 0.0000
Sb 0.1491 0.3509 0.0000
Sn 0.1429 0.6429 0.5000
Sn 0.6429 0.8571 0.5000
Sn 0.8571 0.3571 0.5000
Sn 0.3571 0.1429 0.5000
Na 0.0000 0.0000 0.0000
Na 0.5000 0.5000 0.0000
CELL_PARAMETERS angstrom
-6.2880 2.0421 5.4465
-1.1054 -8.2940 1.8336
2.6831 0.3022 2.9844

=====

# 22
! NaSn2Sb3 | the Alexandria database | PBE | relaxed; values from VASP
! * space-group type: Immm
! * formation energy (no corrections): -0.048 eV/atom
&SYSTEM
  ibrav = 0, nat = 6, ntyp = 3
/
ATOMIC_SPECIES
Na 22.99 Na.upf
Sn 118.71 Sn.upf
Sb 121.76 Sb.upf
ATOMIC_POSITIONS crystal
Na 0.2500 0.0000 0.0000
Sn 0.9191 0.6691 0.3382
Sn 0.5809 0.3309 0.6618
Sb 0.9137 0.1637 0.3273
Sb 0.7500 0.5000 0.0000
Sb 0.5863 0.8363 0.6727
CELL_PARAMETERS angstrom
-0.5624 -2.4545 -1.7650
6.0328 -0.8777 -0.7018
-2.6505 -3.7274 8.7069

=====

# 23
! NaSn2Sb2 | the Alexandria database | PBE | relaxed; values from VASP
! * space-group type: I4/mmm
! * formation energy (no corrections): -0.002 eV/atom
&SYSTEM
  ibrav = 0, nat = 5, ntyp = 3
/
ATOMIC_SPECIES
Sb 121.76 Sb.upf
Sn 118.71 Sn.upf
Na 22.99 Na.upf
ATOMIC_POSITIONS crystal
Sb 0.3816 0.3816 0.2368
Sb 0.6184 0.6184 0.7632
Sn 0.7500 0.2500 0.5000
Sn 0.2500 0.7500 0.5000
Na 0.0000 0.0000 0.0000
CELL_PARAMETERS angstrom
5.0710 0.0000 0.0000
0.0000 5.0710 0.0000
2.5355 2.5355 6.7490

=====

# 24
! NaSn2Sb | the Alexandria database | PBE | relaxed; values from VASP
! * space-group type: P2_1/m
! * formation energy (no corrections): -0.120 eV/atom
&SYSTEM
  ibrav = 0, nat = 8, ntyp = 3
/
ATOMIC_SPECIES
Na 22.99 Na.upf
Sn 118.71 Sn.upf
Sb 121.76 Sb.upf
ATOMIC_POSITIONS crystal
Na 0.7500 0.4196 0.8216
Na 0.2500 0.5804 0.1784
Sn 0.7500 0.8986 0.9023
Sn 0.2500 0.1014 0.0977
Sn 0.7500 0.8204 0.3660
Sn 0.2500 0.1796 0.6340
Sb 0.7500 0.2470 0.3162
Sb 0.2500 0.7530 0.6838
CELL_PARAMETERS angstrom
4.7060 0.0000 0.0000
0.0000 6.9100 1.6631
0.0000 0.3458 7.2556

=====

# 25
! NaSn4Sb | the Alexandria database | PBE | relaxed; values from VASP
! * space-group type: F-43m
! * formation energy (no corrections): 0.073 eV/atom
&SYSTEM
  ibrav = 0, nat = 6, ntyp = 3
/
ATOMIC_SPECIES
Sb 121.76 Sb.upf
Sn 118.71 Sn.upf
Na 22.99 Na.upf
ATOMIC_POSITIONS crystal
Sb 0.2500 0.2500 0.2500
Sn 0.6248 0.6248 0.1257
Sn 0.6248 0.1257 0.6248
Sn 0.6248 0.6248 0.6248
Sn 0.1257 0.6248 0.6248
Na 0.0000 0.0000 0.0000
CELL_PARAMETERS angstrom
-2.9370 -5.0574 2.2722
1.0498 -5.6415 -2.5372
3.2253 -4.3276 3.1992